Crystalline Li3V2P4H2O16 at its relaxed geometry. Source: the Alexandria database, functional PBE+U.

Cell: 8.078 7.567 9.758 Å, 75.59 90.00 90.00°
Atoms (fractional coordinates):
Li 0.376 0.900 0.828
Li 0.133 0.402 0.577
Li 0.633 0.598 0.423
Li 0.876 0.100 0.172
Li 0.130 0.400 0.074
Li 0.630 0.600 0.926
V 0.505 0.249 0.628
V 0.005 0.751 0.372
V 0.499 0.243 0.125
V 0.999 0.757 0.875
P 0.347 0.517 0.812
P 0.847 0.491 0.690
P 0.152 0.006 0.567
P 0.652 0.994 0.433
P 0.347 0.509 0.310
P 0.847 0.483 0.188
P 0.157 0.020 0.056
P 0.657 0.980 0.944
H 0.511 0.775 0.599
H 0.011 0.225 0.401
H 0.489 0.733 0.144
H 0.989 0.267 0.856
O 0.558 0.087 0.814
O 0.177 0.562 0.870
O 0.827 0.607 0.800
O 0.446 0.692 0.753
O 0.046 0.895 0.695
O 0.315 0.056 0.628
O 0.945 0.311 0.752
O 0.326 0.397 0.706
O 0.669 0.108 0.541
O 0.060 0.192 0.502
O 0.679 0.447 0.634
O 0.956 0.592 0.565
O 0.560 0.808 0.498
O 0.169 0.892 0.459
O 0.815 0.944 0.372
O 0.546 0.105 0.305
O 0.456 0.408 0.435
O 0.179 0.553 0.366
O 0.826 0.603 0.294
O 0.445 0.689 0.248
O 0.058 0.913 0.186
O 0.334 0.069 0.096
O 0.946 0.308 0.247
O 0.327 0.393 0.200
O 0.675 0.105 0.049
O 0.060 0.196 0.996
O 0.677 0.438 0.130
O 0.952 0.597 0.058
O 0.560 0.804 0.004
O 0.175 0.895 0.951
O 0.834 0.931 0.904
O 0.452 0.403 0.942

Output
Raw total energy   -371.04 eV/cell
V   578 Å³/cell
Energy above the most stable polymorph in this dataset   0 meV/atom
Space-group type   P2_1, No. 4
Size of the total moment   6.0 μB/cell